A crystal of Ti2Al3Ni relaxed with PBEsol, computed with SCAN.

Output
Calculated formation energy (eV per atom): -0.553
ρ (g cm⁻³): 4.47
SG: P6_3/mmc
Total magnetic moment (μB per atom): 0.4038

Cell: 5.1011 5.1011 7.7557 Å, 90.00 90.00 120.00°
Positions (direct):
Ti: 0.3333 0.6667 0.0685
Ti: 0.3333 0.6667 0.4315
Ti: 0.6667 0.3333 0.5685
Ti: 0.6667 0.3333 0.9315
Al: 0.1679 0.3358 0.7500
Al: 0.1679 0.8321 0.7500
Al: 0.3358 0.1679 0.2500
Al: 0.6642 0.8321 0.7500
Al: 0.8321 0.1679 0.2500
Al: 0.8321 0.6642 0.2500
Ni: 0.0000 0.0000 0.0000
Ni: 0.0000 0.0000 0.5000